[1]
A geometry-optimized Ac6Si3Se2Cl structure. Source: the Alexandria database, functional GGA-PBE.

POSCAR file:
```
Ac6Si3Se2Cl
1.0
4.5618 0.0000 0.0000
0.0000 9.0696 0.3629
-2.2809 -2.5733 9.5497
Ac Si Se Cl
6 3 2 1
Cartesian
0.0000 6.6827 6.5904
2.2809 4.5127 3.3502
2.2809 -0.1865 3.3221
2.2809 -0.1472 9.5866
0.0000 6.6434 0.3260
0.0000 1.9835 6.5624
2.2809 4.5348 0.1814
2.2809 -0.2222 6.4574
0.0000 6.7185 3.4552
2.2809 4.3422 6.6273
0.0000 2.1540 3.2852
2.2809 0.0000 0.0000
```

Calculated values
uncorrected energy: -64.6 eV/cell
symmetry: C2/m, No. 12
DOS at the Fermi energy: 2.9 states/eV/cell

[2]
A geometry-optimized Ac3SiSeCl structure. Source: the Alexandria database, functional GGA-PBE.

POSCAR file:
```
Ac3SiSeCl
1.0
-2.8014 3.5185 -0.0025
-4.8262 -3.8379 6.7428
6.6007 5.2602 6.6847
Ac Si Se Cl
6 2 2 2
Cartesian
-5.4097 0.0093 6.8630
4.3828 4.9315 6.5620
-1.0984 0.5678 7.3891
0.0715 4.3729 6.0360
-3.0175 1.9117 3.6154
1.9906 3.0290 9.8096
-2.7960 -0.7852 5.2905
1.7691 5.7260 8.1345
-0.3388 1.1688 1.9118
-0.6881 3.7719 11.5133
2.5474 3.4687 4.6381
-3.5743 1.4720 8.7869
```

Calculated values
uncorrected energy: -61.2 eV/cell
symmetry: P2_1/m, No. 11
DOS at the Fermi energy: 4.8 states/eV/cell

Number 1: total magnetic moment 0.0 Bohr magnetons per cell. Number 2: total magnetic moment 2.6 Bohr magnetons per cell.